Below is a relaxed structure of Sr2MgMn, with properties calculated at the GGA-PBE level.

Lattice parameters (Å, degrees): 4.5585 4.9439 6.7705 90.00 109.65 90.00
Sites, in units of the cell vectors:
Sr  0.0000  0.0000  0.0000
Sr  0.2960  0.5000  0.5926
Mg  0.5899  0.5000  0.1782
Mn  0.7073  0.0000  0.4153

## Properties
Its symmetry is Pm, No. 6. Its formation energy is 1.2 eV per formula unit. The total moment is 3.772 μB/f.u.



Below is a relaxed structure of PrSm2Ir, with properties calculated at the GGA-PBE level.

Lattice parameters (Å, degrees): 7.3667 9.7332 6.5492 90.00 90.00 90.00
Sites, in units of the cell vectors:
Pr  0.0353  0.2500  0.1387
Pr  0.4647  0.7500  0.6387
Pr  0.5353  0.2500  0.3613
Pr  0.9647  0.7500  0.8613
Sm  0.1749  0.0656  0.6707
Sm  0.1749  0.4344  0.6707
Sm  0.3251  0.5656  0.1707
Sm  0.3251  0.9344  0.1707
Sm  0.6749  0.0656  0.8293
Sm  0.6749  0.4344  0.8293
Sm  0.8251  0.5656  0.3293
Sm  0.8251  0.9344  0.3293
Ir  0.1182  0.7500  0.4335
Ir  0.3818  0.2500  0.9335
Ir  0.6182  0.7500  0.0665
Ir  0.8818  0.2500  0.5665

## Properties
For the energy above the most stable polymorph in this dataset, the calculation gives 0.0 meV/atom. Its symmetry is Pnma, No. 62. Its formation energy is -1.9 eV per formula unit. The total moment is 0.000 μB/f.u.



Below is a relaxed structure of Sm14YEr, with properties calculated at the GGA-PBE level.

Lattice parameters (Å, degrees): 7.2477 7.2477 10.2055 90.00 90.00 90.00
Sites, in units of the cell vectors:
Sm  0.0000  0.0000  0.0000
Sm  0.0000  0.5000  0.0000
Sm  0.0000  0.5000  0.5000
Sm  0.2495  0.2495  0.2513
Sm  0.2495  0.2495  0.7487
Sm  0.2495  0.7505  0.2513
Sm  0.2495  0.7505  0.7487
Sm  0.5000  0.0000  0.0000
Sm  0.5000  0.0000  0.5000
Sm  0.5000  0.5000  0.0000
Sm  0.7505  0.2495  0.2513
Sm  0.7505  0.2495  0.7487
Sm  0.7505  0.7505  0.2513
Sm  0.7505  0.7505  0.7487
Y  0.5000  0.5000  0.5000
Er  0.0000  0.0000  0.5000

## Properties
Its symmetry is P4/mmm, No. 123. Its formation energy is 0.2 eV per formula unit. The total moment is 0.000 μB/f.u.



Below is a relaxed structure of Cs2NaNbO4, with properties calculated at the GGA-PBE level.

Lattice parameters (Å, degrees): 12.7334 11.3030 7.1244 84.16 62.01 33.82
Sites, in units of the cell vectors:
Cs  0.0495  0.0495  0.7005
Cs  0.2995  0.2995  0.9505
Cs  0.7005  0.7005  0.0495
Cs  0.9505  0.9505  0.2995
Na  0.1250  0.1250  0.1250
Na  0.8750  0.8750  0.8750
Nb  0.3750  0.3750  0.3750
Nb  0.6250  0.6250  0.6250
O  0.0425  0.6150  0.5399
O  0.3026  0.5399  0.6150
O  0.3850  0.9575  0.6974
O  0.4601  0.6974  0.9575
O  0.5399  0.3026  0.0425
O  0.6150  0.0425  0.3026
O  0.6974  0.4601  0.3850
O  0.9575  0.3850  0.4601

## Properties
Its symmetry is Fddd, No. 70. The energy relative to the elements, uncorrected comes out at -1.998 eV per atom. The total moment is 0.132 μB/f.u.



Below is a relaxed structure of AcLaDyHg, with properties calculated at the GGA-PBE level.

Lattice parameters (Å, degrees): 3.8163 3.8163 9.0748 90.00 90.00 90.00
Sites, in units of the cell vectors:
Ac  0.0000  0.0000  0.0000
La  0.5000  0.5000  0.7028
Dy  0.5000  0.5000  0.2833
Hg  0.0000  0.0000  0.4689

## Properties
For the energy above the most stable polymorph in this dataset, the calculation gives 0.0 meV/atom. Its symmetry is P4mm, No. 99. Its formation energy is -0.9 eV per formula unit. The total moment is 0.001 μB/f.u.



Below is a relaxed structure of Al2Cd2Au, with properties calculated at the GGA-PBE level.

Lattice parameters (Å, degrees): 7.9580 7.9580 7.9580 152.69 152.69 39.00
Sites, in units of the cell vectors:
Al  0.2500  0.7500  0.5000
Al  0.7500  0.2500  0.5000
Cd  0.0967  0.0967  0.0000
Cd  0.9033  0.9033  0.0000
Au  0.5000  0.5000  0.0000

## Properties
For the energy above the most stable polymorph in this dataset, the calculation gives 194.4 meV/atom. Its symmetry is I4/mmm, No. 139. Its formation energy is 0.8 eV per formula unit. The total moment is 0.000 μB/f.u.